No. 1
A geometry-optimized Cs3W2S8 structure, computed with PBE.

Values from the calculation:
D(E_F) in states/eV per cell: 15.861
SG: R-3m, No. 166
Formation energy from raw total energies in eV per formula unit: -10.832

Cell: 10.8300 10.8300 10.8300 Å, 39.23 39.23 39.23°
With the nearest neighbours (Å) after each atom.
Fractional coordinates of all 13 atoms:
Cs: 0.0000 0.0000 0.0000  6 S 3.71
Cs: 0.2092 0.2092 0.2092  10 S 3.70-3.86
Cs: 0.7908 0.7908 0.7908  10 S 3.70-3.86
W: 0.4100 0.4100 0.4100  4 S 2.20-2.21
W: 0.5900 0.5900 0.5900  4 S 2.20-2.21
S: 0.2352 0.7299 0.7299  1 W 2.21
S: 0.2701 0.2701 0.7648  1 W 2.21
S: 0.2701 0.7648 0.2701  1 W 2.21
S: 0.3365 0.3365 0.3365  1 W 2.20
S: 0.6635 0.6635 0.6635  1 W 2.20
S: 0.7299 0.2352 0.7299  1 W 2.21
S: 0.7299 0.7299 0.2352  1 W 2.21
S: 0.7648 0.2701 0.2701  1 W 2.21


No. 2
A geometry-optimized CsW2S structure, computed with PBE.

Values from the calculation:
D(E_F) in states/eV per cell: 19.453
SG: I-42d, No. 122
Formation energy from raw total energies in eV per formula unit: 5.206

Cell: 4.9914 4.9914 17.3449 Å, 90.00 90.00 90.00°
With the nearest neighbours (Å) after each atom.
Fractional coordinates of all 16 atoms:
Cs: 0.0000 0.0000 0.0000  8 W 3.50-3.57, 4 S 3.53
Cs: 0.0000 0.5000 0.2500  8 W 3.50-3.57, 4 S 3.53
Cs: 0.5000 0.0000 0.7500  8 W 3.50-3.57, 4 S 3.53
Cs: 0.5000 0.5000 0.5000  8 W 3.50-3.57, 4 S 3.53
W: 0.0103 0.7500 0.6250  2 W 2.50, 2 S 2.50
W: 0.2500 0.0103 0.3750  2 W 2.50, 2 S 2.50
W: 0.2500 0.4897 0.8750  2 W 2.50, 2 S 2.50
W: 0.4897 0.7500 0.1250  2 W 2.50, 2 S 2.50
W: 0.5103 0.2500 0.1250  2 W 2.50, 2 S 2.50
W: 0.7500 0.5103 0.8750  2 W 2.50, 2 S 2.50
W: 0.7500 0.9897 0.3750  2 W 2.50, 2 S 2.50
W: 0.9897 0.2500 0.6250  2 W 2.50, 2 S 2.50
S: 0.0000 0.0000 0.5000  4 W 2.50
S: 0.0000 0.5000 0.7500  4 W 2.50
S: 0.5000 0.0000 0.2500  4 W 2.50
S: 0.5000 0.5000 0.0000  4 W 2.50


No. 3
A geometry-optimized CsWS2 structure, computed with PBE.

Values from the calculation:
D(E_F) in states/eV per cell: 10.278
SG: R-3m, No. 166
Energy relative to the lowest polymorph listed for this composition in meV per atom: 0
Formation energy from raw total energies in eV per formula unit: -0.882

Cell: 3.4886 3.4886 28.3183 Å, 90.00 90.00 120.00°
With the nearest neighbours (Å) after each atom.
Fractional coordinates of all 12 atoms:
Cs: 0.0000 0.0000 0.0000  2 S 3.28, 6 Cs 3.49
Cs: 0.3333 0.6667 0.6667  2 S 3.28, 6 Cs 3.49
Cs: 0.6667 0.3333 0.3333  2 S 3.28, 6 Cs 3.49
W: 0.0000 0.0000 0.5000  6 S 2.48
W: 0.3333 0.6667 0.1667  6 S 2.48
W: 0.6667 0.3333 0.8333  6 S 2.48
S: 0.0000 0.0000 0.1159  3 W 2.48
S: 0.0000 0.0000 0.8841  3 W 2.48
S: 0.3333 0.6667 0.5508  3 W 2.48
S: 0.3333 0.6667 0.7825  3 W 2.48
S: 0.6667 0.3333 0.2175  3 W 2.48
S: 0.6667 0.3333 0.4492  3 W 2.48


No. 4
A geometry-optimized Cs2ZnWS4 structure, computed with PBE.

Values from the calculation:
D(E_F) in states/eV per cell: 4.557
SG: Fddd, No. 70
Formation energy from raw total energies in eV per formula unit: -6.258

Cell: 13.9686 12.6649 7.5445 Å, 83.33 64.23 32.44°
With the nearest neighbours (Å) after each atom.
Fractional coordinates of all 16 atoms:
Cs: 0.0509 0.0509 0.6991  6 S 3.71-3.94
Cs: 0.3009 0.3009 0.9491  6 S 3.71-3.94
Cs: 0.6991 0.6991 0.0509  6 S 3.71-3.94
Cs: 0.9491 0.9491 0.3009  6 S 3.71-3.94
Zn: 0.1250 0.1250 0.1250  4 S 2.45
Zn: 0.8750 0.8750 0.8750  4 S 2.45
W: 0.3750 0.3750 0.3750  4 S 2.26
W: 0.6250 0.6250 0.6250  4 S 2.26
S: 0.0098 0.6446 0.5658  1 W 2.26, 1 Zn 2.45
S: 0.2798 0.5658 0.6446  1 W 2.26, 1 Zn 2.45
S: 0.3554 0.9902 0.7202  1 W 2.26, 1 Zn 2.45
S: 0.4342 0.7202 0.9902  1 W 2.26, 1 Zn 2.45
S: 0.5658 0.2798 0.0098  1 W 2.26, 1 Zn 2.45
S: 0.6446 0.0098 0.2798  1 W 2.26, 1 Zn 2.45
S: 0.7202 0.4342 0.3554  1 W 2.26, 1 Zn 2.45
S: 0.9902 0.3554 0.4342  1 W 2.26, 1 Zn 2.45


No. 5
A geometry-optimized Cs3YS structure, computed with PBE.

Values from the calculation:
D(E_F) in states/eV per cell: 4.270
SG: Pm-3m, No. 221
Energy relative to the lowest polymorph listed for this composition in meV per atom: 0
Formation energy from raw total energies in eV per formula unit: 0.283

Cell: 6.8367 6.8367 6.8367 Å, 90.00 90.00 90.00°
With the nearest neighbours (Å) after each atom.
Fractional coordinates of all 5 atoms:
Cs: 0.0000 0.0000 0.5000  2 S 3.42
Cs: 0.0000 0.5000 0.0000  2 S 3.42
Cs: 0.5000 0.0000 0.0000  2 S 3.42
Y: 0.5000 0.5000 0.5000  12 Cs 4.83
S: 0.0000 0.0000 0.0000  6 Cs 3.42


No. 6
A geometry-optimized CsYS3 structure, computed with PBE.

Values from the calculation:
D(E_F) in states/eV per cell: 1.873
SG: Pm-3m, No. 221
Energy relative to the lowest polymorph listed for this composition in meV per atom: 1602
Formation energy from raw total energies in eV per formula unit: 2.648

Cell: 5.3834 5.3834 5.3834 Å, 90.00 90.00 90.00°
With the nearest neighbours (Å) after each atom.
Fractional coordinates of all 5 atoms:
Cs: 0.0000 0.0000 0.0000  6 S 2.69
Y: 0.5000 0.5000 0.5000  12 S 3.81
S: 0.0000 0.0000 0.5000  2 Cs 2.69
S: 0.0000 0.5000 0.0000  2 Cs 2.69
S: 0.5000 0.0000 0.0000  2 Cs 2.69


No. 7
A geometry-optimized CsYS3 structure, computed with PBE.

Values from the calculation:
D(E_F) in states/eV per cell: 5.943
SG: Pm-3m, No. 221
Energy relative to the lowest polymorph listed for this composition in meV per atom: 0
Formation energy from raw total energies in eV per formula unit: -5.361

Cell: 5.4087 5.4087 5.4087 Å, 90.00 90.00 90.00°
With the nearest neighbours (Å) after each atom.
Fractional coordinates of all 5 atoms:
Cs: 0.0000 0.0000 0.0000  12 S 3.82
Y: 0.5000 0.5000 0.5000  6 S 2.70
S: 0.0000 0.5000 0.5000  2 Y 2.70
S: 0.5000 0.0000 0.5000  2 Y 2.70
S: 0.5000 0.5000 0.0000  2 Y 2.70


No. 8
A geometry-optimized CsYS4 structure, computed with PBE.

Values from the calculation:
SG: P4/nbm, No. 125
Formation energy from raw total energies in eV per formula unit: -7.278

Cell: 5.9941 5.9941 8.6907 Å, 90.00 90.00 90.00°
With the nearest neighbours (Å) after each atom.
Fractional coordinates of all 12 atoms:
Cs: 0.2500 0.2500 0.0000  8 S 3.61
Cs: 0.7500 0.7500 0.0000  8 S 3.61
Y: 0.2500 0.2500 0.5000  8 S 2.87
Y: 0.7500 0.7500 0.5000  8 S 2.87
S: 0.1253 0.6253 0.3135  1 S 2.11
S: 0.1253 0.8747 0.6865  1 S 2.11
S: 0.3747 0.6253 0.6865  1 S 2.11
S: 0.3747 0.8747 0.3135  1 S 2.11
S: 0.6253 0.1253 0.6865  1 S 2.11
S: 0.6253 0.3747 0.3135  1 S 2.11
S: 0.8747 0.1253 0.3135  1 S 2.11
S: 0.8747 0.3747 0.6865  1 S 2.11


No. 9
A geometry-optimized Cs6YS4 structure, computed with PBE.

Values from the calculation:
D(E_F) in states/eV per cell: 3.760
SG: P6_3mc, No. 186
Formation energy from raw total energies in eV per formula unit: -13.394

Cell: 11.3796 11.3796 8.5089 Å, 90.00 90.00 120.00°
With the nearest neighbours (Å) after each atom.
Fractional coordinates of all 22 atoms:
Cs: 0.0694 0.5347 0.0000  5 S 3.56-3.86
Cs: 0.1339 0.2678 0.3139  4 S 3.59-3.94
Cs: 0.1339 0.8661 0.3139  4 S 3.59-3.94
Cs: 0.2678 0.1339 0.8139  4 S 3.59-3.94
Cs: 0.4653 0.5347 0.0000  5 S 3.56-3.86
Cs: 0.4653 0.9306 0.0000  5 S 3.56-3.86
Cs: 0.5347 0.0694 0.5000  5 S 3.56-3.86
Cs: 0.5347 0.4653 0.5000  5 S 3.56-3.86
Cs: 0.7322 0.8661 0.3139  4 S 3.59-3.94
Cs: 0.8661 0.1339 0.8139  4 S 3.59-3.94
Cs: 0.8661 0.7322 0.8139  4 S 3.59-3.94
Cs: 0.9306 0.4653 0.5000  5 S 3.56-3.86
Y: 0.3333 0.6667 0.5947  4 S 2.62
Y: 0.6667 0.3333 0.0947  4 S 2.62
S: 0.2081 0.4162 0.6995  1 Y 2.62
S: 0.2081 0.7919 0.6995  1 Y 2.62
S: 0.3333 0.6667 0.2864  1 Y 2.62
S: 0.4162 0.2081 0.1995  1 Y 2.62
S: 0.5838 0.7919 0.6995  1 Y 2.62
S: 0.6667 0.3333 0.7864  1 Y 2.62
S: 0.7919 0.2081 0.1995  1 Y 2.62
S: 0.7919 0.5838 0.1995  1 Y 2.62


No. 10
A geometry-optimized CsY5S8 structure, computed with PBE.

Values from the calculation:
D(E_F) in states/eV per cell: 0.000
SG: C2/m, No. 12
Formation energy from raw total energies in eV per formula unit: -28.352

Cell: 10.4368 10.4368 9.8242 Å, 104.25 104.25 22.17°
With the nearest neighbours (Å) after each atom.
Fractional coordinates of all 14 atoms:
Cs: 0.0000 0.0000 0.0000  8 S 3.71-4.06, 2 Cs 4.01
Y: 0.1564 0.1564 0.4495  6 S 2.67-2.91
Y: 0.2032 0.2032 0.8388  6 S 2.67-2.90
Y: 0.5000 0.5000 0.5000  6 S 2.73-2.76
Y: 0.7968 0.7968 0.1612  6 S 2.67-2.90
Y: 0.8436 0.8436 0.5505  6 S 2.67-2.91
S: 0.0793 0.0793 0.6422  4 Y 2.73-2.78
S: 0.2712 0.2712 0.3550  5 Y 2.74-2.91
S: 0.3291 0.3291 0.0103  3 Y 2.67-2.70
S: 0.4184 0.4184 0.6854  3 Y 2.67-2.76
S: 0.5816 0.5816 0.3146  3 Y 2.67-2.76
S: 0.6709 0.6709 0.9897  3 Y 2.67-2.70
S: 0.7288 0.7288 0.6450  5 Y 2.74-2.91
S: 0.9207 0.9207 0.3578  4 Y 2.73-2.78